Below is crystalline Co7CuAs4H4O20 at its relaxed geometry, with properties calculated at the GGA+U level.

Output
Total moment in μB per formula unit: 22.02
Raw total energy in eV/atom: -5.89

abc: 8.4733 6.1561 8.5466
angles: 90.00 90.11 90.00
Last column: nearest neighbours and their distance in Å.
Space group Pm (No. 6)
Unique sites:
Co 0.0000 0.0000 0.0000  5 O 2.02-2.09
Co 0.1368 0.2470 0.6275  6 O 2.08-2.29
Co 0.2726 0.0000 0.2566  5 O 2.02-2.10
Co 0.5024 0.5000 0.7568  5 O 2.03-2.12
Co 0.6391 0.2513 0.1308  6 O 2.07-2.27
Cu 0.7655 0.5000 0.4949  5 O 1.97-2.10
As 0.3863 0.0000 0.8833  4 O 1.72-1.73
As 0.3865 0.5000 0.3805  4 O 1.72-1.73
As 0.8855 0.5000 0.8713  4 O 1.73-1.74
As 0.8912 0.0000 0.3791  4 O 1.73-1.74
H 0.3516 0.0000 0.5439  1 O 0.98
H 0.4294 0.5000 0.0435  1 O 0.98
H 0.8559 0.5000 0.2260  1 O 0.98
H 0.9255 0.0000 0.7137  1 O 0.98
O 0.0318 0.0000 0.7581  1 H 0.98
O 0.0352 0.0000 0.2362  1 As 1.73
O 0.0641 0.5000 0.7746  1 As 1.73
O 0.2104 0.5000 0.4816  1 As 1.73
O 0.2377 0.0000 0.0207  1 As 1.72
O 0.2449 0.0000 0.5005  1 H 0.98
O 0.3693 0.2254 0.7641  1 As 1.73
O 0.4071 0.2750 0.2611  1 As 1.73
O 0.5320 0.5000 0.5213  1 As 1.72
O 0.5371 0.5000 0.0025  1 H 0.98
O 0.5622 0.0000 0.9865  1 As 1.73
O 0.7137 0.0000 0.2770  1 As 1.74
O 0.7401 0.5000 0.7281  1 As 1.74
O 0.7473 0.5000 0.2649  1 H 0.98
O 0.8644 0.2759 0.9920  1 As 1.73
O 0.9130 0.2268 0.4964  1 As 1.73